# CaLaFeAgO6 PBE with a Hubbard U relaxed
data_CaLaFeAgO6
_cell_length_a 5.681
_cell_length_b 5.929
_cell_length_c 7.716
_cell_angle_alpha 89.43
_cell_angle_beta 89.65
_cell_angle_gamma 84.41
_space_group_name_H-M_alt 'P 1'
_space_group_IT_number 1
loop_
_space_group_symop_operation_xyz
'x,y,z'
loop_
_atom_site_label
_atom_site_type_symbol
_atom_site_fract_x
_atom_site_fract_y
_atom_site_fract_z
_atom_site_occupancy
Ca1 Ca 0.000 0.000 0.000 1
Ca2 Ca 0.477 0.625 0.500 1
La1 La 0.513 0.497 0.004 1
La2 La 0.993 0.117 0.499 1
Fe1 Fe 0.495 0.053 0.250 1
Fe2 Fe 0.996 0.561 0.752 1
Ag1 Ag 0.494 0.059 0.753 1
Ag2 Ag 0.996 0.563 0.254 1
O1 O 0.096 0.609 0.000 1
O2 O 0.152 0.818 0.696 1
O3 O 0.228 0.899 0.292 1
O4 O 0.309 0.363 0.304 1
O5 O 0.310 0.374 0.704 1
O6 O 0.387 0.103 0.005 1
O7 O 0.594 0.012 0.499 1
O8 O 0.673 0.746 0.210 1
O9 O 0.689 0.751 0.804 1
O10 O 0.762 0.207 0.206 1
O11 O 0.848 0.299 0.808 1
O12 O 0.887 0.516 0.506 1
# * total moment: 7.9 μB/cell
# * energy above the most stable polymorph in this dataset: 0.0 meV/atom
# * theoretical density: 5.63 g/cm3
# * electronic total energy: -6.327 eV/atom